The following is a DFT calculation (PBE-GGA) of crystalline La2PbIO8 at its relaxed geometry.

Summary:
The value obtained for the total DFT energy (no corrections) is -6.32 eV per atom. The calculation puts the uncorrected formation energy at -1.7502 eV/atom.

a b c (Å): 7.157 7.446 7.380
angles (deg): 90.00 90.10 90.00
Space group C2/m (No. 12)
Inequivalent atoms, fractional coordinates:
La 0.003 0.000 0.258 [4 per cell]
Pb 0.000 0.500 0.000 [2 per cell]
I 0.000 0.500 0.500 [2 per cell]
O 0.003 0.324 0.692 [8 per cell]
O 0.190 0.000 0.999 [4 per cell]
O 0.234 0.000 0.503 [4 per cell]